SCAN YW2Cl, single point on PBEsol structure; spin magnetization = 0.00 μB per formula unit; ΔE_f (raw) = -60 meV per atom; excess energy over the best structure of this formula in the dataset = 55.9 meV/atom; E_tot = -175.44 eV/f.u.
1.0
3.2156 0.0000 0.0000
0.0000 3.2156 0.0000
0.0000 0.0000 8.0498
Y W Cl
1 2 1
Direct
0.0000 0.0000 0.0000 Y
0.0000 0.0000 0.5877 W
0.5000 0.5000 0.7392 W
0.5000 0.5000 0.2234 Cl